Record 1
Cs2RbNbSe4: relaxed, PBE-GGA.

The value obtained for the density is 3.20 Mg/m³. As for the space group: Fddd, No. 70. The calculation puts the raw formation energy at -1001 meV/atom.

a = 15.8169 Å, b = 14.6798 Å, c = 8.1013 Å
α = 82.52°, β = 66.96°, γ = 30.52°
Closest atoms and distances in Å follow each position.
Element x y z (fractional)
1 Cs 0.0663 0.0663 0.6837  4 Se 3.76-3.94
2 Cs 0.3163 0.3163 0.9337  4 Se 3.76-3.94
3 Cs 0.6837 0.6837 0.0663  4 Se 3.76-3.94
4 Cs 0.9337 0.9337 0.3163  4 Se 3.76-3.94
5 Rb 0.1250 0.1250 0.1250  4 Se 3.27
6 Rb 0.8750 0.8750 0.8750  4 Se 3.27
7 Nb 0.3750 0.3750 0.3750  4 Se 2.43
8 Nb 0.6250 0.6250 0.6250  4 Se 2.43
9 Se 0.0508 0.5998 0.4948  1 Nb 2.43
10 Se 0.3546 0.4948 0.5998  1 Nb 2.43
11 Se 0.4002 0.9492 0.6454  1 Nb 2.43
12 Se 0.4948 0.3546 0.0508  1 Nb 2.43
13 Se 0.5052 0.6454 0.9492  1 Nb 2.43
14 Se 0.5998 0.0508 0.3546  1 Nb 2.43
15 Se 0.6454 0.5052 0.4002  1 Nb 2.43
16 Se 0.9492 0.4002 0.5052  1 Nb 2.43

Record 2
CsRbNbSe4: relaxed, PBE-GGA.

The value obtained for the density is 3.63 Mg/m³. As for the space group: P2_1/m, No. 11. The calculation puts the raw formation energy at -926 meV/atom.

a = 8.0508 Å, b = 6.4315 Å, c = 11.3776 Å
α = 90.00°, β = 103.35°, γ = 90.00°
Closest atoms and distances in Å follow each position.
Element x y z (fractional)
1 Cs 0.2361 0.2500 0.4688  7 Se 3.72-3.80
2 Cs 0.7639 0.7500 0.5312  7 Se 3.72-3.80
3 Rb 0.2763 0.2500 0.9439  8 Se 3.47-3.88
4 Rb 0.7237 0.7500 0.0561  8 Se 3.47-3.88
5 Nb 0.2747 0.7500 0.2036  4 Se 2.38-2.46
6 Nb 0.7253 0.2500 0.7964  4 Se 2.38-2.46
7 Se 0.0670 0.7500 0.3256  1 Nb 2.41
8 Se 0.1462 0.7500 0.9935  1 Nb 2.38
9 Se 0.4910 0.0246 0.2582  1 Nb 2.46
10 Se 0.4910 0.4754 0.2582  1 Nb 2.46
11 Se 0.5090 0.5246 0.7418  1 Nb 2.46
12 Se 0.5090 0.9754 0.7418  1 Nb 2.46
13 Se 0.8538 0.2500 0.0065  1 Nb 2.38
14 Se 0.9330 0.2500 0.6744  1 Nb 2.41

Record 3
Cs2RbNbTc: relaxed, PBE-GGA.

The value obtained for the density is 3.86 Mg/m³. As for the space group: P4/mmm, No. 123. For the formation energy, the calculation gives 2.308 eV/atom.

a = 5.8589 Å, b = 5.8589 Å, c = 6.7892 Å
α = 90.00°, β = 90.00°, γ = 90.00°
Closest atoms and distances in Å follow each position.
Element x y z (fractional)
1 Cs 0.0000 0.5000 0.0000  2 Tc 2.93
2 Cs 0.5000 0.0000 0.0000  2 Tc 2.93
3 Rb 0.0000 0.0000 0.5000  2 Tc 3.39
4 Nb 0.5000 0.5000 0.5000  4 Rb 4.14, 8 Cs 4.48
5 Tc 0.0000 0.0000 0.0000  4 Cs 2.93

Record 4
Cs2RbNbTe4: relaxed, PBE-GGA.

The value obtained for the density is 3.58 Mg/m³. As for the space group: Fddd, No. 70. The calculation puts the raw formation energy at -714 meV/atom.

a = 16.2908 Å, b = 15.0951 Å, c = 8.4608 Å
α = 82.34°, β = 66.68°, γ = 30.98°
Closest atoms and distances in Å follow each position.
Element x y z (fractional)
1 Cs 0.0648 0.0648 0.6852  4 Te 3.99-4.11
2 Cs 0.3148 0.3148 0.9352  4 Te 3.99-4.11
3 Cs 0.6852 0.6852 0.0648  4 Te 3.99-4.11
4 Cs 0.9352 0.9352 0.3148  4 Te 3.99-4.11
5 Rb 0.1250 0.1250 0.1250  4 Te 3.48
6 Rb 0.8750 0.8750 0.8750  4 Te 3.48
7 Nb 0.3750 0.3750 0.3750  4 Te 2.64
8 Nb 0.6250 0.6250 0.6250  4 Te 2.64
9 Te 0.0403 0.6017 0.4980  1 Nb 2.64
10 Te 0.3599 0.4980 0.6017  1 Nb 2.64
11 Te 0.3983 0.9597 0.6401  1 Nb 2.64
12 Te 0.4980 0.3599 0.0403  1 Nb 2.64
13 Te 0.5020 0.6401 0.9597  1 Nb 2.64
14 Te 0.6017 0.0403 0.3599  1 Nb 2.64
15 Te 0.6401 0.5020 0.3983  1 Nb 2.64
16 Te 0.9597 0.3983 0.5020  1 Nb 2.64

Record 5
Cs3NbRe: relaxed, PBE-GGA.

The value obtained for the density is 3.61 Mg/m³. As for the space group: Pm-3m, No. 221. For the formation energy, the calculation gives 2.256 eV/atom.

a = 6.7788 Å, b = 6.7788 Å, c = 6.7788 Å
α = 90.00°, β = 90.00°, γ = 90.00°
Closest atoms and distances in Å follow each position.
Element x y z (fractional)
1 Cs 0.0000 0.0000 0.5000  2 Re 3.39
2 Cs 0.0000 0.5000 0.0000  2 Re 3.39
3 Cs 0.5000 0.0000 0.0000  2 Re 3.39
4 Nb 0.5000 0.5000 0.5000  12 Cs 4.79
5 Re 0.0000 0.0000 0.0000  6 Cs 3.39

Record 6
Cs2NbRe: relaxed, PBE-GGA.

The relative energy among the computed polymorphs comes out at 113.0 kJ/mol of atoms. The value obtained for the density is 9.04 Mg/m³. As for the space group: Fm-3m, No. 225. For the formation energy, the calculation gives 2.825 eV/atom.

a = 5.2112 Å, b = 5.2112 Å, c = 5.2112 Å
α = 60.00°, β = 60.00°, γ = 60.00°
Closest atoms and distances in Å follow each position.
Element x y z (fractional)
1 Cs 0.2500 0.2500 0.2500  4 Re 3.19, 4 Nb 3.19
2 Cs 0.7500 0.7500 0.7500  4 Re 3.19, 4 Nb 3.19
3 Nb 0.0000 0.0000 0.0000  8 Cs 3.19
4 Re 0.5000 0.5000 0.5000  8 Cs 3.19

Record 7
CsNbRe3: relaxed, PBE-GGA.

The value obtained for the density is 11.68 Mg/m³. As for the space group: Pm-3m, No. 221. For the formation energy, the calculation gives 3.911 eV/atom.

a = 4.8139 Å, b = 4.8139 Å, c = 4.8139 Å
α = 90.00°, β = 90.00°, γ = 90.00°
Closest atoms and distances in Å follow each position.
Element x y z (fractional)
1 Cs 0.0000 0.0000 0.0000  6 Re 2.41
2 Nb 0.5000 0.5000 0.5000  12 Re 3.40
3 Re 0.0000 0.0000 0.5000  2 Cs 2.41
4 Re 0.0000 0.5000 0.0000  2 Cs 2.41
5 Re 0.5000 0.0000 0.0000  2 Cs 2.41

Record 8
Cs2NbRe: relaxed, PBE-GGA.

The relative energy among the computed polymorphs comes out at 0.0 kJ/mol of atoms. The value obtained for the density is 3.79 Mg/m³. As for the space group: I-42d, No. 122. For the formation energy, the calculation gives 1.654 eV/atom.

a = 10.2926 Å, b = 10.2926 Å, c = 10.2926 Å
α = 93.07°, β = 93.07°, γ = 153.26°
Closest atoms and distances in Å follow each position.
Element x y z (fractional)
1 Cs 0.3750 0.0774 0.2024  2 Nb 3.65, 2 Re 4.02
2 Cs 0.8274 0.6250 0.7024  2 Nb 3.65, 2 Re 4.02
3 Cs 0.8750 0.1726 0.7976  2 Nb 3.65, 2 Re 4.02
4 Cs 0.9226 0.1250 0.2976  2 Nb 3.65, 2 Re 4.02
5 Nb 0.0000 0.0000 0.0000  2 Re 2.38
6 Nb 0.7500 0.2500 0.5000  2 Re 2.38
7 Re 0.2500 0.7500 0.5000  2 Nb 2.38
8 Re 0.5000 0.5000 0.0000  2 Nb 2.38

Record 9
CsTiNb2Re: relaxed, PBE-GGA.

The value obtained for the density is 7.92 Mg/m³. As for the space group: P4/mmm, No. 123. For the formation energy, the calculation gives 3.040 eV/atom.

a = 4.9626 Å, b = 4.9626 Å, c = 4.7082 Å
α = 90.00°, β = 90.00°, γ = 90.00°
Closest atoms and distances in Å follow each position.
Element x y z (fractional)
1 Cs 0.0000 0.0000 0.0000  2 Ti 2.35, 4 Nb 2.48
2 Ti 0.0000 0.0000 0.5000  2 Cs 2.35
3 Nb 0.0000 0.5000 0.0000  2 Cs 2.48
4 Nb 0.5000 0.0000 0.0000  2 Cs 2.48
5 Re 0.5000 0.5000 0.5000  8 Nb 3.42, 4 Ti 3.51

Record 10
CsNbRhSe3: relaxed, PBE-GGA.

The value obtained for the density is 5.90 Mg/m³. As for the space group: P2_1/m, No. 11. The calculation puts the raw formation energy at -826 meV/atom.

a = 9.2184 Å, b = 3.7647 Å, c = 10.2223 Å
α = 90.00°, β = 116.20°, γ = 90.00°
Closest atoms and distances in Å follow each position.
Element x y z (fractional)
1 Cs 0.0160 0.2500 0.2688  7 Se 3.56-3.69, 2 Cs 3.76
2 Cs 0.9840 0.7500 0.7312  7 Se 3.56-3.69, 2 Cs 3.76
3 Nb 0.4559 0.2500 0.1649  6 Se 2.57-2.73, 2 Rh 2.86
4 Nb 0.5441 0.7500 0.8351  6 Se 2.57-2.73, 2 Rh 2.86
5 Rh 0.4632 0.7500 0.3781  4 Se 2.49-2.59
6 Rh 0.5368 0.2500 0.6219  4 Se 2.49-2.59
7 Se 0.2421 0.7500 0.1242  1 Rh 2.49, 2 Nb 2.62
8 Se 0.3416 0.7500 0.5636  3 Rh 2.49-2.59, 1 Nb 2.57
9 Se 0.3493 0.2500 0.8698  3 Nb 2.73
10 Se 0.6507 0.7500 0.1302  3 Nb 2.73
11 Se 0.6584 0.2500 0.4364  3 Rh 2.49-2.59, 1 Nb 2.57
12 Se 0.7579 0.2500 0.8758  1 Rh 2.49, 2 Nb 2.62

Record 11
CsNb2SiRh: relaxed, PBE-GGA.

The value obtained for the density is 6.67 Mg/m³. As for the space group: P4/mmm, No. 123. The calculation puts the raw formation energy at 1016 meV/atom.

a = 4.9394 Å, b = 4.9394 Å, c = 4.5867 Å
α = 90.00°, β = 90.00°, γ = 90.00°
Closest atoms and distances in Å follow each position.
Element x y z (fractional)
1 Cs 0.0000 0.0000 0.0000  8 Nb 3.37, 4 Rh 3.49
2 Nb 0.0000 0.5000 0.5000  2 Si 2.47
3 Nb 0.5000 0.0000 0.5000  2 Si 2.47
4 Si 0.5000 0.5000 0.5000  2 Rh 2.29, 4 Nb 2.47
5 Rh 0.5000 0.5000 0.0000  2 Si 2.29

Record 12
CsNbRhW2: relaxed, PBE-GGA.

The value obtained for the density is 9.21 Mg/m³. As for the space group: P4/mmm, No. 123. For the formation energy, the calculation gives 1.968 eV/atom.

a = 4.9677 Å, b = 4.9677 Å, c = 5.0901 Å
α = 90.00°, β = 90.00°, γ = 90.00°
Closest atoms and distances in Å follow each position.
Element x y z (fractional)
1 Cs 0.0000 0.0000 0.0000  4 Nb 3.51, 8 W 3.56
2 Nb 0.5000 0.5000 0.0000  2 Rh 2.55
3 Rh 0.5000 0.5000 0.5000  4 W 2.48, 2 Nb 2.55
4 W 0.0000 0.5000 0.5000  2 Rh 2.48
5 W 0.5000 0.0000 0.5000  2 Rh 2.48

Record 13
CsNbRu2: relaxed, PBE-GGA.

The relative energy among the computed polymorphs comes out at 0.0 kJ/mol of atoms. The value obtained for the density is 6.17 Mg/m³. As for the space group: I-42d, No. 122. For the formation energy, the calculation gives 1.378 eV/atom.

a = 8.7074 Å, b = 8.7074 Å, c = 8.7074 Å
α = 143.68°, β = 143.68°, γ = 52.30°
Closest atoms and distances in Å follow each position.
Element x y z (fractional)
1 Cs 0.0000 0.0000 0.0000  4 Ru 3.30
2 Cs 0.7500 0.2500 0.5000  4 Ru 3.30
3 Nb 0.2500 0.7500 0.5000  4 Ru 2.42
4 Nb 0.5000 0.5000 0.0000  4 Ru 2.42
5 Ru 0.2977 0.6250 0.1727  2 Nb 2.42
6 Ru 0.3750 0.5477 0.6727  2 Nb 2.42
7 Ru 0.4523 0.1250 0.8273  2 Nb 2.42
8 Ru 0.8750 0.7023 0.3273  2 Nb 2.42

| no. | total magnetic moment (μB/f.u.) |
| --- | --- |
| 1 | 0.00 |
| 2 | 0.00 |
| 3 | 1.58 |
| 4 | 0.00 |
| 5 | 1.00 |
| 6 | 0.00 |
| 7 | 0.00 |
| 8 | 0.51 |
| 9 | 0.00 |
| 10 | 0.00 |
| 11 | 0.02 |
| 12 | 1.51 |
| 13 | 0.00 |